CePr7Tl4 PBE-GGA relaxed; theoretical density = 8175 kg/m³; space group = C2/m, No. 12; calculated total energy = -0.1521 Ha/atom
1.0
-5.383 2.361 0.941
-5.853 -3.146 -6.755
-5.198 -5.567 3.064
Ce Pr Tl
1 7 4
Direct
0.000 0.000 0.000
0.802 0.882 0.514
0.198 0.118 0.486
0.068 0.597 0.268
0.932 0.403 0.732
0.254 0.700 0.791
0.500 0.000 0.000
0.746 0.300 0.209
0.548 0.286 0.619
0.452 0.714 0.381
0.684 0.658 0.973
0.316 0.342 0.027

---

SrTaN2 PBE-GGA relaxed; theoretical density = 9808 kg/m³; energy relative to the elements, uncorrected = 0.420 eV per atom; space group = Fm-3m, No. 225
1.0
-3.928 0.801 1.038
-1.330 3.916 0.204
-2.641 1.441 -2.846
Sr N Ta
1 2 1
Direct
0.000 0.000 0.000
0.250 0.250 0.250
0.750 0.750 0.750
0.500 0.500 0.500

---

PaNi2S4 PBE-GGA relaxed; theoretical density = 6736 kg/m³; energy relative to the elements, uncorrected = -0.814 eV per atom; space group = Cmcm, No. 63; offset from the most stable computed form = 55 meV per atom
1.0
3.734 0.000 0.000
-1.867 5.585 0.000
0.000 0.000 11.271
Pa Ni S
2 4 8
Direct
0.620 0.241 0.750
0.380 0.759 0.250
0.135 0.270 0.429
0.865 0.730 0.929
0.135 0.270 0.071
0.865 0.730 0.571
0.774 0.547 0.109
0.774 0.547 0.391
0.226 0.453 0.891
0.226 0.453 0.609
0.946 0.893 0.750
0.054 0.107 0.250
0.500 0.000 0.000
0.500 0.000 0.500

---

Fe4CuW PBE-GGA relaxed; theoretical density = 10786 kg/m³; space group = F-43m, No. 216; calculated total energy = -0.3082 Ha/atom
1.0
4.675 -0.207 0.032
2.317 0.054 4.066
2.161 -3.866 1.513
Fe Cu W
4 1 1
Direct
0.876 0.375 0.375
0.375 0.375 0.876
0.375 0.876 0.375
0.375 0.375 0.375
0.000 0.000 0.000
0.750 0.750 0.750

---

Mg2SiNi PBE-GGA relaxed; theoretical density = 3426 kg/m³; energy relative to the elements, uncorrected = -0.177 eV per atom; space group = Pmm2, No. 25
1.0
3.136 0.000 0.000
0.000 2.937 0.000
0.000 0.000 7.126
Mg Ni Si
2 1 1
Direct
0.000 0.000 0.960
0.500 0.500 0.296
0.000 0.000 0.552
0.500 0.500 0.691

---

CoWBr2 PBE-GGA relaxed; theoretical density = 9090 kg/m³; energy relative to the elements, uncorrected = 0.875 eV per atom; space group = R-3m, No. 166; offset from the most stable computed form = 693 meV per atom
1.0
1.831 0.000 8.439
-0.916 1.586 8.439
-0.916 -1.586 8.439
Co Br W
1 2 1
Direct
0.000 0.000 0.000
0.909 0.909 0.909
0.091 0.091 0.091
0.500 0.500 0.500

---

Ba2Bi3Pt4 PBE-GGA relaxed; theoretical density = 12059 kg/m³; space group = Cmce, No. 64; calculated total energy = -0.1811 Ha/atom
1.0
6.504 0.000 -2.548
0.000 7.757 0.000
-0.134 0.000 9.234
Ba Bi Pt
4 6 8
Direct
0.099 0.583 0.198
0.901 0.417 0.802
0.401 0.083 0.802
0.599 0.917 0.198
0.000 0.000 0.000
0.500 0.500 0.000
0.512 0.750 0.523
0.988 0.250 0.477
0.488 0.250 0.477
0.012 0.750 0.523
0.678 0.750 0.856
0.822 0.250 0.144
0.322 0.250 0.144
0.178 0.750 0.856
0.172 0.992 0.345
0.828 0.008 0.655
0.328 0.492 0.655
0.672 0.508 0.345

---

AsRhSe2Br PBE-GGA relaxed; theoretical density = 5266 kg/m³; energy relative to the elements, uncorrected = 0.879 eV per atom; space group = P4/mmm, No. 123; offset from the most stable computed form = 455 meV per atom
1.0
-1.841 3.751 2.897
-0.969 -3.341 3.709
4.626 0.788 1.919
As Rh Se Br
1 1 2 1
Direct
0.000 0.000 0.000
0.500 0.500 0.500
0.000 0.500 0.000
0.500 0.000 0.000
0.000 0.000 0.500

---

- Among the records above, which one has the highest theoretical density?
  Ba2Bi3Pt4

---

- Among the records above, which one has the highest theoretical density?
  Ba2Bi3Pt4

---

- theoretical density of number 2 (SrTaN2)?
  9808 kg/m³

---

- The highest theoretical density belongs to which entry?
  Ba2Bi3Pt4